## P
DFT (GGA-PBE) results for a relaxed structure of ZrTcP2.

abc: 3.0993 3.0993 23.4083
angles: 90.00 90.00 120.00
With the nearest neighbours (Å) after each atom.
Space group R3m (No. 160, hexagonal axes)
Inequivalent atoms, fractional coordinates:
Zr  0.0000  0.0000  0.0000  3 P 2.72, 3 Tc 2.93
Tc  0.0000  0.0000  0.7656  3 P 2.40
P  0.0000  0.0000  0.2460  3 P 2.57, 3 Zr 2.72
P  0.0000  0.0000  0.5004  3 Tc 2.40, 3 P 2.57

Values from the calculation:
Mass density in g cm⁻³: 6.426

## Q
DFT (GGA-PBE) results for a relaxed structure of ZrTcP2.

abc: 6.3119 6.3119 6.3119
angles: 90.00 90.00 90.00
With the nearest neighbours (Å) after each atom.
Space group F-43m (No. 216)
Inequivalent atoms, fractional coordinates:
Zr  0.0000  0.0000  0.0000  4 P 2.73, 4 Tc 2.73
Tc  0.2500  0.2500  0.7500  4 Zr 2.73, 4 P 2.73
P  0.0000  0.0000  0.5000  4 Tc 2.73, 4 P 2.73
P  0.2500  0.2500  0.2500  4 P 2.73, 4 Zr 2.73

Values from the calculation:
Mass density in g cm⁻³: 6.634

Tell me which of them is the least stable. Sure, it is Q.

## P
DFT (GGA-PBE) results for a relaxed structure of ZrTcP.

abc: 6.7712 6.7712 3.5502
angles: 90.00 90.00 120.00
With the nearest neighbours (Å) after each atom.
Space group P-62m (No. 189)
Inequivalent atoms, fractional coordinates:
Zr  0.0000  0.4079  0.0000  5 P 2.71-2.76, 6 Tc 2.95-2.99
Tc  0.0000  0.7553  0.5000  4 P 2.43-2.61
P  0.0000  0.0000  0.0000  6 Tc 2.43
P  0.3333  0.6667  0.5000  3 Tc 2.61, 6 Zr 2.71

Values from the calculation:
Mass density in g cm⁻³: 7.782

## Q
DFT (GGA-PBE) results for a relaxed structure of ZrTcP.

abc: 3.5662 3.5662 4.8798
angles: 90.00 90.00 120.00
With the nearest neighbours (Å) after each atom.
Space group P3m1 (No. 156)
Inequivalent atoms, fractional coordinates:
Zr  0.0000  0.0000  0.0000  3 P 2.59
Tc  0.3333  0.6667  0.5217  3 P 2.28
P  0.6667  0.3333  0.3222  3 Tc 2.28

Values from the calculation:
Mass density in g cm⁻³: 6.803

## R
DFT (GGA-PBE) results for a relaxed structure of ZrTcP.

abc: 6.1713 6.1713 6.1713
angles: 90.00 90.00 90.00
With the nearest neighbours (Å) after each atom.
Space group F-43m (No. 216)
Inequivalent atoms, fractional coordinates:
Zr  0.0000  0.0000  0.0000  4 Tc 2.67, 4 P 2.67
Tc  0.2500  0.2500  0.7500  4 Zr 2.67
P  0.2500  0.2500  0.2500  4 Zr 2.67

Values from the calculation:
Mass density in g cm⁻³: 6.223

## S
DFT (GGA-PBE) results for a relaxed structure of ZrTcP.

abc: 5.9578 5.9578 5.9578
angles: 90.00 90.00 90.00
With the nearest neighbours (Å) after each atom.
Space group F-43m (No. 216)
Inequivalent atoms, fractional coordinates:
Zr  0.0000  0.0000  0.0000  4 P 2.58
Tc  0.0000  0.0000  0.5000  4 P 2.58
P  0.2500  0.2500  0.2500  4 Zr 2.58, 4 Tc 2.58

Values from the calculation:
Mass density in g cm⁻³: 6.916

Tell me which of them is the least stable. Sure, it is R.

## P
DFT (GGA-PBE) results for a relaxed structure of ZrTcP.

abc: 3.0783 3.0783 10.1834
angles: 90.00 90.00 90.00
With the nearest neighbours (Å) after each atom.
Space group I4mm (No. 107)
Inequivalent atoms, fractional coordinates:
Zr  0.0000  0.0000  0.0000  5 P 2.94-3.12, 5 Tc 2.99-3.05, 4 Zr 3.08
Tc  0.0000  0.0000  0.2991  4 P 2.43
P  0.0000  0.0000  0.6934  4 Tc 2.43

Values from the calculation:
Mass density in g cm⁻³: 7.579

## Q
DFT (GGA-PBE) results for a relaxed structure of ZrTcP.

abc: 4.1776 4.1776 3.2705
angles: 90.00 90.00 120.00
With the nearest neighbours (Å) after each atom.
Space group P-6m2 (No. 187)
Inequivalent atoms, fractional coordinates:
Zr  0.0000  0.0000  0.0000  6 Tc 2.91, 6 P 2.91
Tc  0.3333  0.6667  0.5000  3 P 2.41
P  0.6667  0.3333  0.5000  3 Tc 2.41

Values from the calculation:
Mass density in g cm⁻³: 7.397

Tell me which of them is the least stable. Sure, it is P.